First-principles (PBE) data for a geometry-optimized YMo4 structure, as listed in Alexandria.

a b c (Å): 4.376 4.376 10.514
angles (deg): 90.00 90.00 90.00
Space group I4/mmm (No. 139)
One atom of each set of equivalent atoms:
Y (0.000, 0.000, 0.000) [2 per cell]
Mo (0.000, 0.000, 0.378) [4 per cell]
Mo (0.000, 0.500, 0.250) [4 per cell]

## Properties
- excess energy over the best structure of this formula in the dataset (meV/atom) = 85
- DOS at the Fermi energy (states/eV per atom) = 0.97
- ΔH_f (0 K) (eV per atom) = 0.328

=====

First-principles (PBE) data for a geometry-optimized MnPbAu2 structure, as listed in Alexandria.

a b c (Å): 3.315 4.813 10.034
angles (deg): 90.00 90.00 90.00
Space group Immm (No. 71)
One atom of each set of equivalent atoms:
Mn (0.000, 0.000, 0.000) [2 per cell]
Pb (0.000, 0.000, 0.500) [2 per cell]
Au (0.000, 0.500, 0.284) [4 per cell]

## Properties
- DOS at the Fermi energy (states/eV per atom) = 0.45
- ΔH_f (0 K) (eV per atom) = 0.126

=====

First-principles (PBE) data for a geometry-optimized Ac12Sb3Pt5 structure, as listed in Alexandria.

a b c (Å): 18.628 18.628 18.628
angles (deg): 90.00 90.00 90.00
Space group Ia-3d (No. 230)
One atom of each set of equivalent atoms:
Ac (0.026, 0.060, 0.648) [96 per cell]
Sb (0.000, 0.250, 0.125) [24 per cell]
Pt (0.000, 0.000, 0.000) [16 per cell]
Pt (0.000, 0.250, 0.375) [24 per cell]

## Properties
- DOS at the Fermi energy (states/eV per atom) = 0.77
- ΔE_f (raw) (meV/atom) = -704

=====

First-principles (PBE) data for a geometry-optimized K3PrTh2Te6 structure, as listed in Alexandria.

a b c (Å): 7.838 13.575 8.819
angles (deg): 90.00 107.24 90.00
Space group C2/m (No. 12)
One atom of each set of equivalent atoms:
K (0.000, 0.000, 0.000) [2 per cell]
K (0.000, 0.336, 0.000) [4 per cell]
Pr (0.000, 0.500, 0.500) [2 per cell]
Th (0.000, 0.167, 0.500) [4 per cell]
Te (0.234, 0.000, 0.719) [4 per cell]
Te (0.243, 0.330, 0.720) [8 per cell]

## Properties
- DOS at the Fermi energy (states/eV per atom) = 0.59
- ΔE_f (raw) (meV/atom) = -1256

=====

First-principles (PBE) data for a geometry-optimized TmReTc structure, as listed in Alexandria.

a b c (Å): 10.374 4.329 7.052
angles (deg): 90.00 132.67 90.00
Space group C2/m (No. 12)
One atom of each set of equivalent atoms:
Tm (0.065, 0.000, 0.314) [4 per cell]
Re (0.157, 0.500, 0.730) [4 per cell]
Tc (0.166, 0.500, 0.086) [4 per cell]

## Properties
- excess energy over the best structure of this formula in the dataset (meV/atom) = 141
- DOS at the Fermi energy (states/eV per atom) = 0.56
- ΔH_f (0 K) (eV per atom) = -0.124

=====

First-principles (PBE) data for a geometry-optimized Er2ZrPaN4 structure, as listed in Alexandria.

a b c (Å): 5.885 3.405 5.894
angles (deg): 90.00 109.13 90.00
Space group P2/m (No. 10)
One atom of each set of equivalent atoms:
Er (0.000, 0.000, 0.000) [1 per cell]
Er (0.500, 0.500, 0.000) [1 per cell]
Zr (0.000, 0.500, 0.500) [1 per cell]
Pa (0.500, 0.000, 0.500) [1 per cell]
N (0.246, 0.000, 0.737) [2 per cell]
N (0.248, 0.500, 0.257) [2 per cell]

## Properties
- DOS at the Fermi energy (states/eV per atom) = 0.46
- ΔE_f (raw) (meV/atom) = -1718

=====

First-principles (PBE) data for a geometry-optimized AlBiPS2 structure, as listed in Alexandria.

a b c (Å): 4.668 4.668 4.705
angles (deg): 90.00 90.00 90.00
Space group P4/mmm (No. 123)
One atom of each set of equivalent atoms:
Al (0.000, 0.000, 0.000) [1 per cell]
Bi (0.500, 0.500, 0.500) [1 per cell]
P (0.000, 0.000, 0.500) [1 per cell]
S (0.000, 0.500, 0.000) [2 per cell]

## Properties
- excess energy over the best structure of this formula in the dataset (meV/atom) = 0
- DOS at the Fermi energy (states/eV per atom) = 0.31
- ΔE_f (raw) (meV/atom) = 23

=====

First-principles (PBE) data for a geometry-optimized EuAgSbAu structure, as listed in Alexandria.

a b c (Å): 7.213 7.213 7.213
angles (deg): 90.00 90.00 90.00
Space group F-43m (No. 216)
One atom of each set of equivalent atoms:
Eu (0.000, 0.000, 0.000) [4 per cell]
Ag (0.250, 0.250, 0.250) [4 per cell]
Sb (0.000, 0.000, 0.500) [4 per cell]
Au (0.250, 0.250, 0.750) [4 per cell]

## Properties
- DOS at the Fermi energy (states/eV per atom) = 2.01
- ΔE_f (raw) (meV/atom) = -462

=====

First-principles (PBE) data for a geometry-optimized Ce2NdLu structure, as listed in Alexandria.

a b c (Å): 7.997 7.997 7.997
angles (deg): 90.00 90.00 90.00
Space group Fm-3m (No. 225)
One atom of each set of equivalent atoms:
Ce (0.250, 0.250, 0.250) [8 per cell]
Nd (0.000, 0.000, 0.000) [4 per cell]
Lu (0.000, 0.000, 0.500) [4 per cell]

## Properties
- excess energy over the best structure of this formula in the dataset (meV/atom) = 147
- DOS at the Fermi energy (states/eV per atom) = 4.19
- ΔH_f (0 K) (eV per atom) = 0.253

=====

First-principles (PBE) data for a geometry-optimized Cs2BaP2S6 structure, as listed in Alexandria.

a b c (Å): 7.3917 7.3917 22.7573
angles (deg): 90.00 90.00 120.00
Space group R-3m (No. 166, hexagonal axes)
One atom of each set of equivalent atoms:
Cs (0.0000, 0.0000, 0.2231) [6 per cell]
Ba (0.0000, 0.0000, 0.0000) [3 per cell]
P (0.0000, 0.0000, 0.4490) [6 per cell]
S (0.0264, 0.5132, 0.2400) [18 per cell]

## Properties
- DOS at the Fermi energy (states/eV per atom) = 0.00
- ΔE_f (raw) (meV/atom) = -994

=====

First-principles (PBE) data for a geometry-optimized BPRhC structure, as listed in Alexandria.

a b c (Å): 2.845 2.875 5.359
angles (deg): 90.00 90.00 90.00
Space group Pmm2 (No. 25)
One atom of each set of equivalent atoms:
B (0.000, 0.000, 0.000) [1 per cell]
P (0.500, 0.500, 0.365) [1 per cell]
Rh (0.000, 0.500, 0.693) [1 per cell]
C (0.500, 0.000, 0.149) [1 per cell]

## Properties
- excess energy over the best structure of this formula in the dataset (meV/atom) = 19
- DOS at the Fermi energy (states/eV per atom) = 0.49
- ΔH_f (0 K) (eV per atom) = 0.067

=====

First-principles (PBE) data for a geometry-optimized HgGeRh2 structure, as listed in Alexandria.

a b c (Å): 2.988 2.988 7.109
angles (deg): 90.00 90.00 90.00
Space group P4/mmm (No. 123)
One atom of each set of equivalent atoms:
Hg (0.000, 0.000, 0.000) [1 per cell]
Ge (0.000, 0.000, 0.500) [1 per cell]
Rh (0.500, 0.500, 0.295) [2 per cell]

## Properties
- excess energy over the best structure of this formula in the dataset (meV/atom) = 0
- DOS at the Fermi energy (states/eV per atom) = 0.34
- ΔH_f (0 K) (eV per atom) = -0.261

=====

Question: What is the formula in the twelfth record?
Answer: HgGeRh2

=====

Question: Number 5 is which compound?
Answer: TmReTc

=====

Question: DOS at the Fermi energy of number 8 (EuAgSbAu)?
Answer: 2.01 states/eV per atom